# 1
A plane-wave DFT calculation with PBE-GGA was carried out for a relaxed PmSnI2 crystal.

Properties
ΔE_f (raw) = -0.66 eV per atom
density of states at the Fermi level = 2.29 states/eV/cell

Unit cell a=3.9183 b=3.9183 c=11.2373 alpha=79.96 beta=79.96 gamma=60.00
Element x y z (fractional)
Sn 0.0000 0.0000 0.0000
Pm 0.5000 0.5000 0.5000
I 0.0994 0.0994 0.7018
I 0.9006 0.9006 0.2982

***

# 2
A plane-wave DFT calculation with PBE-GGA was carried out for a relaxed Ca3MoRu crystal.

Properties
ΔE_f = 1497 meV per atom
density of states at the Fermi level = 12.23 states/eV/cell

Unit cell a=5.2906 b=5.2906 c=5.2906 alpha=90.00 beta=90.00 gamma=90.00
Element x y z (fractional)
Ca 0.5000 0.0000 0.0000
Ca 0.0000 0.0000 0.5000
Ru 0.5000 0.5000 0.5000
Ca 0.0000 0.5000 0.0000
Mo 0.0000 0.0000 0.0000

***

# 3
A plane-wave DFT calculation with PBE-GGA was carried out for a relaxed ZnNi2Sb crystal.

Properties
ΔE_f (raw) = -0.07 eV per atom
density of states at the Fermi level = 1.35 states/eV/cell

Unit cell a=4.8658 b=4.8658 c=4.8625 alpha=134.82 beta=134.82 gamma=65.87
Element x y z (fractional)
Ni 0.0001 0.0001 0.0000
Zn 0.7500 0.2500 0.5000
Ni 0.2500 0.7500 0.5000
Sb 0.4999 0.4999 0.0000

***

# 4
A plane-wave DFT calculation with PBE-GGA was carried out for a relaxed CaZn4Pd2 crystal.

Properties
ΔE_f = -487 meV per atom
density of states at the Fermi level = 5.70 states/eV/cell

Unit cell a=4.2833 b=7.5593 c=7.5593 alpha=90.00 beta=90.00 gamma=90.00
Element x y z (fractional)
Pd 0.0000 0.2218 0.7782
Zn 0.5000 0.4024 0.8550
Zn 0.0000 0.9024 0.6450
Zn 0.0000 0.3550 0.0976
Zn 0.5000 0.8550 0.4024
Zn 0.5000 0.1450 0.5976
Zn 0.0000 0.6450 0.9024
Ca 0.0000 0.5000 0.5000
Pd 0.5000 0.2782 0.2782
Zn 0.5000 0.5976 0.1450
Zn 0.0000 0.0976 0.3550
Pd 0.0000 0.7782 0.2218
Pd 0.5000 0.7218 0.7218
Ca 0.5000 0.0000 0.0000

***

# 5
A plane-wave DFT calculation with PBE-GGA was carried out for a relaxed NaPuPbF6 crystal.

Properties
ΔE_f (raw) = -2.97 eV per atom
density of states at the Fermi level = 13.02 states/eV/cell

Unit cell a=6.1271 b=6.1271 c=10.1182 alpha=90.00 beta=90.00 gamma=120.00
Element x y z (fractional)
Pu 0.6667 0.3333 0.2500
F 0.6552 0.6619 0.6354
F 0.3448 0.0067 0.1354
Na 0.6667 0.3333 0.7500
F 0.6552 0.9933 0.8646
F 0.6619 0.0067 0.3646
Pb 0.0000 0.0000 0.5000
Na 0.3333 0.6667 0.2500
F 0.6619 0.6552 0.1354
F 0.9933 0.3381 0.1354
Pb 0.0000 0.0000 0.0000
F 0.0067 0.3448 0.6354
F 0.3381 0.3448 0.8646
F 0.3381 0.9933 0.6354
F 0.3448 0.3381 0.3646
Pu 0.3333 0.6667 0.7500
F 0.9933 0.6552 0.3646
F 0.0067 0.6619 0.8646

***

# 6
A plane-wave DFT calculation with PBE-GGA was carried out for a relaxed AcNd2Sm crystal.

Properties
ΔE_f = 31 meV per atom
density of states at the Fermi level = 6.45 states/eV/cell

Unit cell a=3.7606 b=6.4989 c=6.4477 alpha=99.73 beta=90.00 gamma=106.82
Element x y z (fractional)
Nd 0.7478 0.4955 0.7457
Sm 0.0000 0.0000 0.5000
Nd 0.2522 0.5045 0.2543
Ac 0.5000 0.0000 0.0000

***

# 7
A plane-wave DFT calculation with PBE-GGA was carried out for a relaxed La8Pt3I4Cl crystal.

Properties
ΔE_f (raw) = -1.21 eV per atom
density of states at the Fermi level = 17.20 states/eV/cell

Unit cell a=8.6272 b=9.4402 c=8.6282 alpha=117.20 beta=120.00 gamma=90.00
Element x y z (fractional)
I 0.0000 0.0000 0.5000
La 0.7295 0.7045 0.9670
I 0.0000 0.0000 0.0000
La 0.7625 0.2955 0.0330
La 0.7287 0.6857 0.4573
La 0.2713 0.3143 0.5427
La 0.2705 0.2955 0.0330
La 0.2375 0.7044 0.4750
I 0.5000 0.0000 0.5000
Pt 0.5000 0.5000 0.5000
Cl 0.0000 0.5000 0.0000
La 0.7625 0.2956 0.5250
La 0.2375 0.7045 0.9670
Pt 0.5000 0.5000 0.0000
I 0.5000 0.0000 0.0000
Pt 0.0000 0.5000 0.5000

***

# 8
A plane-wave DFT calculation with PBE-GGA was carried out for a relaxed RbBi4Te6 crystal.

Properties
ΔE_f (raw) = -0.17 eV per atom
density of states at the Fermi level = 2.80 states/eV/cell

Unit cell a=8.6169 b=8.6169 c=8.6169 alpha=83.53 beta=123.81 gamma=123.81
Element x y z (fractional)
Bi 0.0000 0.5639 0.2082
Rb 0.0000 0.0000 0.0000
Te 0.0000 0.8724 0.4945
Bi 0.6443 0.4361 0.4361
Te 0.6221 0.1276 0.1276
Bi 0.0000 0.2082 0.5639
Te 0.3779 0.5055 0.5055
Bi 0.3557 0.7918 0.7918
Te 0.5000 0.0000 0.5000
Te 0.0000 0.4945 0.8724
Te 0.5000 0.5000 0.0000